1.
Here is a geometry-optimized Mn2GeRh2 structure from the Alexandria database. Energies are from PBE.

Unit cell a=7.1078 b=7.1078 c=2.9869 alpha=90.00 beta=90.00 gamma=90.00
Element x y z (fractional)
Mn (0.1594, 0.3406, 0.0000)
Mn (0.3406, 0.8406, 0.0000)
Mn (0.6594, 0.1594, 0.0000)
Mn (0.8406, 0.6594, 0.0000)
Ge (0.0000, 0.0000, 0.5000)
Ge (0.5000, 0.5000, 0.5000)
Rh (0.1394, 0.6394, 0.5000)
Rh (0.3606, 0.1394, 0.5000)
Rh (0.6394, 0.8606, 0.5000)
Rh (0.8606, 0.3606, 0.5000)

Properties
Calculated formation energy: 0.004 eV per atom
DFT total energy: -7.5274 eV/atom


2.
Here is a geometry-optimized MnGe2Rh structure from the Alexandria database. Energies are from PBE.

Unit cell a=8.9489 b=8.9489 c=8.9489 alpha=154.78 beta=154.78 gamma=35.97
Element x y z (fractional)
Mn (0.0000, 0.0000, 0.0000)
Mn (0.7500, 0.2500, 0.5000)
Ge (0.1267, 0.6250, 0.0017)
Ge (0.3750, 0.3767, 0.5017)
Ge (0.6233, 0.1250, 0.9983)
Ge (0.8750, 0.8733, 0.4983)
Rh (0.2500, 0.7500, 0.5000)
Rh (0.5000, 0.5000, 0.0000)

Properties
Distance to the lowest polymorph of the same formula: 16.6 kJ per mole of atoms
Calculated formation energy: 0.009 eV per atom
DFT total energy: -6.4304 eV/atom


3.
Here is a geometry-optimized MnGe2Rh structure from the Alexandria database. Energies are from PBE.

Unit cell a=2.9897 b=2.9897 c=5.9946 alpha=90.00 beta=90.00 gamma=90.00
Element x y z (fractional)
Mn (0.0000, 0.0000, 0.0000)
Ge (0.5000, 0.5000, 0.2285)
Ge (0.5000, 0.5000, 0.7715)
Rh (0.0000, 0.0000, 0.5000)

Properties
Distance to the lowest polymorph of the same formula: 0.0 kJ per mole of atoms
Calculated formation energy: -0.164 eV per atom
DFT total energy: -6.6028 eV/atom


4.
Here is a geometry-optimized MnGeRh3 structure from the Alexandria database. Energies are from PBE.

Unit cell a=4.9055 b=4.9055 c=12.6211 alpha=93.56 beta=93.56 gamma=78.19
Element x y z (fractional)
Mn (0.0423, 0.1645, 0.1408)
Mn (0.1645, 0.0423, 0.6408)
Mn (0.8355, 0.9577, 0.3592)
Mn (0.9577, 0.8355, 0.8592)
Ge (0.0000, 0.5000, 0.5000)
Ge (0.2760, 0.7240, 0.2500)
Ge (0.5000, 0.0000, 0.0000)
Ge (0.7240, 0.2760, 0.7500)
Rh (0.2062, 0.2835, 0.8396)
Rh (0.2255, 0.6521, 0.0316)
Rh (0.2746, 0.5260, 0.6600)
Rh (0.2835, 0.2062, 0.3396)
Rh (0.3479, 0.7745, 0.4684)
Rh (0.4740, 0.7254, 0.8400)
Rh (0.5260, 0.2746, 0.1600)
Rh (0.6521, 0.2255, 0.5316)
Rh (0.7165, 0.7938, 0.6604)
Rh (0.7254, 0.4740, 0.3400)
Rh (0.7745, 0.3479, 0.9684)
Rh (0.7938, 0.7165, 0.1604)

Properties
Distance to the lowest polymorph of the same formula: 0.0 kJ per mole of atoms
Calculated formation energy: -0.097 eV per atom
DFT total energy: -7.2649 eV/atom


5.
Here is a geometry-optimized Sm2MnGe3Rh4 structure from the Alexandria database. Energies are from PBE.

Unit cell a=4.1605 b=4.1605 c=10.4770 alpha=90.00 beta=90.00 gamma=90.00
Element x y z (fractional)
Sm (0.0000, 0.5000, 0.2490)
Sm (0.5000, 0.0000, 0.7510)
Mn (0.0000, 0.0000, 0.5000)
Ge (0.0000, 0.5000, 0.8709)
Ge (0.5000, 0.0000, 0.1291)
Ge (0.5000, 0.5000, 0.5000)
Rh (0.0000, 0.0000, 0.0000)
Rh (0.0000, 0.5000, 0.6374)
Rh (0.5000, 0.0000, 0.3626)
Rh (0.5000, 0.5000, 0.0000)

Properties
Calculated formation energy: -0.777 eV per atom
DFT total energy: -6.9633 eV/atom


6.
Here is a geometry-optimized Sm2MnGeRh6 structure from the Alexandria database. Energies are from PBE.

Unit cell a=5.5797 b=6.2759 c=6.4659 alpha=108.15 beta=102.32 gamma=111.51
Element x y z (fractional)
Sm (0.0253, 0.1577, 0.2999)
Sm (0.9747, 0.8423, 0.7001)
Mn (0.5000, 0.5000, 0.0000)
Ge (0.5000, 0.0000, 0.5000)
Rh (0.0106, 0.6320, 0.2314)
Rh (0.3775, 0.8442, 0.0754)
Rh (0.4082, 0.6577, 0.6537)
Rh (0.5918, 0.3423, 0.3463)
Rh (0.6225, 0.1558, 0.9246)
Rh (0.9894, 0.3680, 0.7686)

Properties
Calculated formation energy: -0.331 eV per atom
DFT total energy: -7.0643 eV/atom